Computed, not measured: MgBi2Pb after structural relaxation at the GGA-PBE level of DFT.

extended XYZ file:
```
8
Lattice="3.453 0.000 0.000 -0.004 5.779 0.000 -1.405 -0.004 11.974" Properties=species:S:1:pos:R:3 pbc="T T T"
Mg 0.007 1.445 1.214
Mg 2.037 4.330 10.760
Bi 0.291 4.325 8.069
Bi 0.303 1.440 10.513
Bi 1.741 4.336 1.461
Bi 1.754 1.451 3.905
Pb 0.140 4.339 4.754
Pb 1.904 1.436 7.220
```

Energy of formation from the pure elements (meV/atom): -32
Space group: P-1, No. 2
Crystal system: triclinic
V (Å³/cell): 238.9
Size of the total moment (μB per formula unit): 0.00